Run 1
Pm3Ho7Er2: optimized geometry, PBE-GGA.

```
Pm3Ho7Er2
1.0
6.0874 0.0000 0.0000
0.0000 5.6039 0.0000
-0.9318 0.0000 12.0841
Pm Ho Er
3 7 2
Cartesian
0.0000 0.0000 0.0000 Pm
2.5319 2.8019 3.9360 Pm
2.6237 2.8019 8.1481 Pm
-0.4630 2.8019 9.9498 Ho
1.1203 0.0000 6.7371 Ho
1.6913 0.0000 10.1255 Ho
3.0437 2.8019 0.0000 Ho
3.4643 0.0000 1.9586 Ho
4.0353 0.0000 5.3469 Ho
5.6186 2.8019 2.1343 Ho
0.5670 0.0000 3.4668 Er
4.5886 0.0000 8.6173 Er
```

## Properties
volume = 412 Å³/cell

Run 2
Pm3Ho7Er2: optimized geometry, PBE-GGA.

```
Pm3Ho7Er2
1.0
5.8031 0.0000 0.0000
0.0000 3.5497 0.0000
-1.0186 0.0000 18.6774
Pm Ho Er
3 7 2
Cartesian
0.0000 0.0000 0.0000 Pm
0.9604 1.7749 11.8297 Pm
3.8241 1.7749 6.8477 Pm
0.9634 1.7749 2.6860 Ho
0.9391 0.0000 8.6405 Ho
0.9375 0.0000 15.3773 Ho
2.9015 1.7749 0.0000 Ho
3.8470 0.0000 3.3001 Ho
3.8453 0.0000 10.0368 Ho
3.8210 1.7749 15.9914 Ho
0.9319 0.0000 5.4672 Er
3.8526 0.0000 13.2101 Er
```

## Properties
volume = 385 Å³/cell

The structure with the least stability is run 1.

Run 1
PmHoEr4: optimized geometry, PBE-GGA.

```
PmHoEr4
1.0
0.0000 4.6275 4.6275
4.6275 0.0000 4.6275
4.6275 4.6275 0.0000
Pm Ho Er
1 1 4
Cartesian
0.0000 0.0000 0.0000 Pm
6.9413 6.9413 6.9413 Ho
3.4743 3.4743 3.4743 Er
5.7807 5.7807 3.4743 Er
5.7807 3.4743 5.7807 Er
3.4743 5.7807 5.7807 Er
```

## Properties
volume = 198 Å³/cell

Run 2
PmHoEr4: optimized geometry, PBE-GGA.

```
PmHoEr4
1.0
3.4509 0.0000 0.0000
0.0000 5.5911 0.0000
0.0000 0.0000 9.6731
Pm Ho Er
1 1 4
Cartesian
0.0000 0.0000 0.0000 Pm
0.0000 2.7956 4.8366 Ho
1.7255 0.0000 3.2434 Er
1.7255 0.0000 6.4297 Er
1.7255 2.7956 1.6346 Er
1.7255 2.7956 8.0385 Er
```

## Properties
volume = 187 Å³/cell

Run 3
PmHoEr4: optimized geometry, PBE-GGA.

```
PmHoEr4
1.0
-2.8159 11.1155 3.0296
2.8159 -11.1155 3.0296
2.8159 11.1155 -3.0296
Pm Ho Er
2 2 8
Cartesian
0.0000 0.0000 0.0000 Pm
0.0000 11.1155 0.0000 Pm
2.8159 5.5577 0.4661 Ho
0.0000 5.5577 2.5635 Ho
2.8159 -7.3649 2.5600 Er
2.8159 2.0340 0.4034 Er
2.8159 -3.7506 2.5600 Er
2.8159 9.0814 0.4034 Er
0.0000 2.0340 2.6262 Er
0.0000 14.8660 0.4696 Er
0.0000 9.0814 2.6262 Er
0.0000 18.4803 0.4696 Er
```

## Properties
volume = 379 Å³/cell

The structure with the least stability is run 1.

Run 1
Pm2HoEr6: optimized geometry, PBE-GGA.

```
Pm2HoEr6
1.0
10.6015 0.0000 0.0000
0.0000 10.6015 0.0000
0.0000 0.0000 5.0226
Pm Ho Er
4 2 12
Cartesian
1.7649 1.7649 0.0000 Pm
3.5359 7.0656 2.5113 Pm
7.0656 3.5359 2.5113 Pm
8.8367 8.8367 0.0000 Pm
0.0000 0.0000 2.5113 Ho
5.3008 5.3008 0.0000 Ho
0.0074 3.5428 2.5113 Er
1.7580 5.3082 0.0000 Er
1.7697 8.8318 0.0000 Er
3.5311 3.5311 2.5113 Er
3.5428 0.0074 2.5113 Er
5.2934 8.8435 0.0000 Er
5.3082 1.7580 0.0000 Er
7.0587 10.5941 2.5113 Er
7.0704 7.0704 2.5113 Er
8.8318 1.7697 0.0000 Er
8.8435 5.2934 0.0000 Er
10.5941 7.0587 2.5113 Er
```

## Properties
volume = 565 Å³/cell

Run 2
Pm2HoEr6: optimized geometry, PBE-GGA.

```
Pm2HoEr6
1.0
6.3729 -7.0812 0.0000
6.3729 7.0812 0.0000
-1.5659 0.0000 6.3323
Pm Ho Er
4 2 12
Cartesian
1.2393 0.3600 2.3622 Pm
0.4564 -0.3600 5.5284 Pm
10.7234 0.3600 0.8040 Pm
9.9405 -0.3600 3.9702 Pm
5.1984 1.6714 4.7493 Ho
5.9814 -1.6714 1.5831 Ho
1.9129 2.8490 4.6243 Er
4.3543 4.4192 6.3098 Er
6.0426 4.4192 3.1888 Er
4.3984 1.2679 1.1722 Er
2.6959 -2.8490 1.4582 Er
3.6154 -1.2679 4.3383 Er
7.5644 1.2679 1.9940 Er
8.4839 2.8490 4.8742 Er
6.7814 -1.2679 5.1602 Er
5.1372 -4.4192 3.1436 Er
6.8255 -4.4192 0.0226 Er
9.2669 -2.8490 1.7080 Er
```

## Properties
volume = 572 Å³/cell

The structure with the least stability is run 2.

Run 1
Pm6HoEr12: optimized geometry, PBE-GGA.

```
Pm6HoEr12
1.0
5.5173 3.1854 5.8012
-5.5173 3.1854 5.8012
0.0000 -6.3709 5.8012
Pm Ho Er
6 1 12
Cartesian
0.0000 -2.5190 6.9525 Pm
-2.1815 1.2595 6.9525 Pm
-2.1815 -1.2595 10.4512 Pm
2.1815 1.2595 6.9525 Pm
2.1815 -1.2595 10.4512 Pm
0.0000 2.5190 10.4512 Pm
0.0000 0.0000 8.7018 Ho
0.0000 -4.3435 4.1955 Er
-1.9240 -1.1108 4.2971 Er
-3.7615 2.1717 4.1955 Er
-3.7616 -2.1717 13.2082 Er
1.9240 -1.1108 4.2971 Er
0.0000 2.2217 4.2971 Er
0.0000 -2.2217 13.1066 Er
-1.9240 1.1108 13.1066 Er
3.7616 2.1717 4.1955 Er
3.7616 -2.1717 13.2082 Er
1.9240 1.1108 13.1066 Er
0.0000 4.3435 13.2082 Er
```

## Properties
volume = 612 Å³/cell

Run 2
Pm6HoEr12: optimized geometry, PBE-GGA.

```
Pm6HoEr12
1.0
6.5827 3.8005 4.1850
-6.5827 3.8005 4.1850
0.0000 -7.6010 4.1850
Pm Ho Er
6 1 12
Cartesian
-2.9060 -1.6778 5.6565 Pm
0.0000 -3.3555 6.8985 Pm
-2.9060 1.6778 6.8985 Pm
2.9060 -1.6778 5.6565 Pm
0.0000 3.3555 5.6565 Pm
2.9060 1.6778 6.8985 Pm
0.0000 0.0000 6.2775 Ho
-1.6904 -4.6731 4.1850 Er
-4.8922 0.8726 4.1850 Er
0.0000 -2.0762 2.9646 Er
-1.7980 1.0381 2.9646 Er
1.6904 -4.6731 4.1850 Er
-3.2018 3.8005 4.1850 Er
1.7980 1.0381 2.9646 Er
-1.7980 -1.0381 9.5905 Er
4.8922 0.8726 4.1850 Er
3.2018 3.8005 4.1850 Er
1.7980 -1.0381 9.5905 Er
0.0000 2.0762 9.5905 Er
```

## Properties
volume = 628 Å³/cell

The structure with the least stability is run 2.